No. 1
# ScCoAs2, optimized geometry, DFT PBE
# Energy relative to the elements, eV per atom: -0.271
# V, Å³/cell: 64
# Space-group type: No. 123
# E_tot, eV/atom: -5.955
data_ScCoAs2
_symmetry_space_group_name_H-M 'P 1'
_symmetry_Int_Tables_number 1
_cell_length_a 3.083
_cell_length_b 3.076
_cell_length_c 6.752
_cell_angle_alpha 90.00
_cell_angle_beta 90.00
_cell_angle_gamma 90.00
loop_
_symmetry_equiv_pos_as_xyz
'x,y,z'
loop_
_atom_site_label
_atom_site_type_symbol
_atom_site_fract_x
_atom_site_fract_y
_atom_site_fract_z
Co1 Co 0.500 0.500 0.250
As1 As 0.000 0.000 0.466
As2 As 0.000 0.000 0.034
Sc1 Sc 0.500 0.500 0.750

***

No. 2
# CsTa3Fe, optimized geometry, DFT PBE
# Energy relative to the elements, eV per atom: 1.425
# Relative energy among the computed polymorphs, meV/atom: 0.0
# V, Å³/cell: 111
# Space-group type: No. 221
# E_tot, eV/atom: -7.550
data_CsTa3Fe
_symmetry_space_group_name_H-M 'P 1'
_symmetry_Int_Tables_number 1
_cell_length_a 4.802
_cell_length_b 4.802
_cell_length_c 4.802
_cell_angle_alpha 90.00
_cell_angle_beta 90.00
_cell_angle_gamma 90.00
loop_
_symmetry_equiv_pos_as_xyz
'x,y,z'
loop_
_atom_site_label
_atom_site_type_symbol
_atom_site_fract_x
_atom_site_fract_y
_atom_site_fract_z
Cs1 Cs 0.500 0.500 0.500
Ta1 Ta 0.500 0.000 0.000
Ta2 Ta 0.000 0.000 0.500
Fe1 Fe 0.000 0.000 0.000
Ta3 Ta 0.000 0.500 0.000

***

No. 3
# UGaPd2, optimized geometry, DFT PBE
# Energy relative to the elements, eV per atom: -0.379
# V, Å³/cell: 70
# Space-group type: No. 123
# E_tot, eV/atom: -6.554
data_UGaPd2
_symmetry_space_group_name_H-M 'P 1'
_symmetry_Int_Tables_number 1
_cell_length_a 3.060
_cell_length_b 3.060
_cell_length_c 7.458
_cell_angle_alpha 90.00
_cell_angle_beta 90.00
_cell_angle_gamma 90.00
loop_
_symmetry_equiv_pos_as_xyz
'x,y,z'
loop_
_atom_site_label
_atom_site_type_symbol
_atom_site_fract_x
_atom_site_fract_y
_atom_site_fract_z
Pd1 Pd 0.000 0.000 0.206
Ga1 Ga 0.500 0.500 0.000
U1 U 0.500 0.500 0.500
Pd2 Pd 0.000 0.000 0.794

***

No. 4
# TlRhCl2, optimized geometry, DFT PBE
# Formation energy (no corrections), eV/atom: -0.188
# Relative energy among the computed polymorphs, meV/atom: 253.3
# V, Å³/cell: 103
# Space-group type: No. 166
# E_tot, eV/atom: -3.541
data_TlRhCl2
_symmetry_space_group_name_H-M 'P 1'
_symmetry_Int_Tables_number 1
_cell_length_a 9.289
_cell_length_b 9.289
_cell_length_c 9.289
_cell_angle_alpha 22.55
_cell_angle_beta 22.55
_cell_angle_gamma 22.55
loop_
_symmetry_equiv_pos_as_xyz
'x,y,z'
loop_
_atom_site_label
_atom_site_type_symbol
_atom_site_fract_x
_atom_site_fract_y
_atom_site_fract_z
Cl1 Cl 0.884 0.884 0.884
Rh1 Rh 0.500 0.500 0.500
Cl2 Cl 0.116 0.116 0.116
Tl1 Tl 0.000 0.000 0.000